Entry 1:
A geometry-optimized Pm4Er15In structure, computed with PBE.

Lattice parameters (Å, degrees): 4.9541 4.9538 25.0346 90.00 90.00 90.00
Fractional positions:
Er (0.5000, 0.0000, 0.7021)
Er (0.0000, 0.5000, 0.0958)
Er (0.5000, 0.5000, 0.8056)
Er (0.5000, 0.5000, 0.0000)
Er (0.5000, 0.5000, 0.1944)
Er (0.5000, 0.5000, 0.6015)
Er (0.5000, 0.0000, 0.0958)
Er (0.5000, 0.0000, 0.5000)
Er (0.5000, 0.5000, 0.3985)
Er (0.5000, 0.0000, 0.9042)
Er (0.0000, 0.5000, 0.7021)
Er (0.0000, 0.5000, 0.5000)
Er (0.5000, 0.0000, 0.2979)
Er (0.0000, 0.5000, 0.2979)
Er (0.0000, 0.5000, 0.9042)
In (0.0000, 0.0000, 0.0000)
Pm (0.0000, 0.0000, 0.6013)
Pm (0.0000, 0.0000, 0.8023)
Pm (0.0000, 0.0000, 0.3987)
Pm (0.0000, 0.0000, 0.1977)

Computed properties:
- Crystal system: tetragonal
- Total magnetization: 0.00 μB per formula unit
- E_form: -27 meV/atom
- Density of states at the Fermi level: 23.97 states/eV per cell
- Space group: P4/mmm

Entry 2:
A geometry-optimized PmEr2In3 structure, computed with PBE.

Lattice parameters (Å, degrees): 3.7428 3.7428 11.4824 90.00 90.00 90.00
Fractional positions:
In (0.0000, 0.0000, 0.0000)
In (0.0000, 0.0000, 0.6773)
In (0.0000, 0.0000, 0.3227)
Er (0.5000, 0.5000, 0.1616)
Er (0.5000, 0.5000, 0.8384)
Pm (0.5000, 0.5000, 0.5000)

Computed properties:
- Crystal system: tetragonal
- Total magnetization: 0.00 μB per formula unit
- E_form: -462 meV/atom
- Density of states at the Fermi level: 3.33 states/eV per cell
- Space group: P4/mmm

Entry 3:
A geometry-optimized Pm3Er4In4 structure, computed with PBE.

Lattice parameters (Å, degrees): 5.2786 7.0445 9.8119 111.04 105.60 90.00
Fractional positions:
In (0.1786, 0.6786, 0.3572)
In (0.8214, 0.3214, 0.6428)
In (0.5000, 0.7869, 0.0000)
In (0.5000, 0.2131, 0.0000)
Er (0.6789, 0.9129, 0.3577)
Er (0.3211, 0.5552, 0.6423)
Er (0.3211, 0.0871, 0.6423)
Er (0.6789, 0.4448, 0.3577)
Pm (0.1040, 0.1040, 0.2080)
Pm (0.8960, 0.8960, 0.7920)
Pm (0.0000, 0.5000, 0.0000)

Computed properties:
- Crystal system: orthorhombic
- Total magnetization: 0.00 μB per formula unit
- E_form: -277 meV/atom
- Density of states at the Fermi level: 10.66 states/eV per cell
- Space group: Immm

Entry 4:
A geometry-optimized Pm6Er2In structure, computed with PBE.

Lattice parameters (Å, degrees): 3.4397 9.7713 11.9589 114.11 125.02 90.00
Fractional positions:
Pm (0.1570, 0.3274, 0.3272)
Pm (0.8430, 0.6726, 0.6728)
Pm (0.5000, 0.3243, 0.0000)
Pm (0.5000, 0.6757, 0.0000)
Pm (0.8430, 0.0002, 0.6728)
Pm (0.1570, 0.9998, 0.3272)
Er (0.3339, 0.3335, 0.6670)
Er (0.6661, 0.6665, 0.3330)
In (0.0000, 0.0000, 0.0000)

Computed properties:
- Crystal system: monoclinic
- Total magnetization: 0.00 μB per formula unit
- E_form: -12 meV/atom
- Polymorph energy (0 for the lowest one): 29 meV/atom
- Density of states at the Fermi level: 15.21 states/eV per cell
- Space group: C2/m

Entry 5:
A geometry-optimized PmEr2In4 structure, computed with PBE.

Lattice parameters (Å, degrees): 5.2656 5.2656 8.2635 108.58 108.58 90.00
Fractional positions:
In (0.6221, 0.1221, 0.2441)
In (0.8779, 0.3779, 0.7559)
In (0.3779, 0.8779, 0.7559)
In (0.1221, 0.6221, 0.2441)
Er (0.7472, 0.7472, 0.4943)
Er (0.2528, 0.2528, 0.5057)
Pm (0.0000, 0.0000, 0.0000)

Computed properties:
- Crystal system: tetragonal
- Total magnetization: 0.00 μB per formula unit
- E_form: -290 meV/atom
- Density of states at the Fermi level: 5.66 states/eV per cell
- Space group: I4/mmm

Entry 6:
A geometry-optimized Pm7Er12In structure, computed with PBE.

Lattice parameters (Å, degrees): 8.7307 8.7631 9.5907 69.46 77.88 100.50
Fractional positions:
Er (0.4360, 0.3521, 0.9220)
Er (0.1119, 0.3617, 0.7620)
Er (0.8067, 0.3792, 0.0352)
Er (0.4358, 0.2144, 0.3130)
Er (0.6619, 0.9285, 0.2729)
Er (0.5642, 0.7856, 0.6870)
Er (0.8336, 0.5423, 0.6244)
Er (0.5641, 0.6479, 0.0780)
Er (0.8881, 0.6383, 0.2380)
Er (0.1933, 0.6208, 0.9648)
Er (0.1664, 0.4577, 0.3756)
Er (0.3382, 0.0715, 0.7271)
Pm (0.3048, 0.9102, 0.1345)
Pm (0.7465, 0.2231, 0.4717)
Pm (0.6952, 0.0898, 0.8655)
Pm (0.9493, 0.8677, 0.7386)
Pm (0.0507, 0.1323, 0.2614)
Pm (0.2535, 0.7769, 0.5283)
Pm (0.5000, 0.5000, 0.5000)
In (0.0000, 0.0000, 0.0000)

Computed properties:
- Crystal system: triclinic
- Total magnetization: 0.00 μB per formula unit
- E_form: 49 meV/atom
- Density of states at the Fermi level: 26.80 states/eV per cell
- Space group: P-1